[1]
CaRhI: optimized geometry, PBE.

Structure (CIF):
```
data_CaRhI
_chemical_formula_sum 'Ca2 Rh2 I2'
_space_group_name_H-M_alt 'P 1'
_space_group_IT_number 1
_cell_length_a 4.208
_cell_length_b 5.789
_cell_length_c 7.165
_cell_angle_alpha 90.09
_cell_angle_beta 106.75
_cell_angle_gamma 90.00
loop_
_space_group_symop_operation_xyz
'x,y,z'
loop_
_atom_site_label
_atom_site_type_symbol
_atom_site_fract_x
_atom_site_fract_y
_atom_site_fract_z
_atom_site_occupancy
Ca1 Ca 0.000 0.000 0.000 1
Ca2 Ca 0.195 0.501 0.398 1
Rh1 Rh 0.598 0.250 0.200 1
Rh2 Rh 0.598 0.750 0.199 1
I1 I 0.442 0.499 0.884 1
I2 I 0.751 0.000 0.514 1
```

## Properties
Calculated volume: 83.6 Å³/f.u.
Total magnetization: 0.000 μB per atom
E_form (uncorrected): -0.6289 eV per atom

[2]
CaRhI: optimized geometry, PBE.

Structure (CIF):
```
data_CaRhI
_chemical_formula_sum 'Ca2 Rh2 I2'
_space_group_name_H-M_alt 'P 63/m m c'
_space_group_IT_number 194
_space_group_name_Hall '-P 6c 2c'
_cell_length_a 5.2150
_cell_length_b 5.2150
_cell_length_c 9.8143
_cell_angle_alpha 90.00
_cell_angle_beta 90.00
_cell_angle_gamma 120.00
loop_
_atom_site_label
_atom_site_type_symbol
_atom_site_fract_x
_atom_site_fract_y
_atom_site_fract_z
_atom_site_occupancy
Ca1 Ca 0.3333 0.6667 0.2500 1
Rh1 Rh 0.0000 0.0000 0.0000 1
I1 I 0.0000 0.0000 0.2500 1
```

## Properties
Calculated volume: 115.6 Å³/f.u.
Total magnetization: 0.000 μB per atom
E_form (uncorrected): 0.1339 eV per atom

[3]
CaRhI: optimized geometry, PBE.

Structure (CIF):
```
data_CaRhI
_chemical_formula_sum 'Ca2 Rh2 I2'
_space_group_name_H-M_alt 'P 1'
_space_group_IT_number 1
_cell_length_a 4.177
_cell_length_b 4.182
_cell_length_c 10.135
_cell_angle_alpha 78.39
_cell_angle_beta 89.95
_cell_angle_gamma 90.00
loop_
_space_group_symop_operation_xyz
'x,y,z'
loop_
_atom_site_label
_atom_site_type_symbol
_atom_site_fract_x
_atom_site_fract_y
_atom_site_fract_z
_atom_site_occupancy
Ca1 Ca 0.000 0.000 0.000 1
Ca2 Ca 0.499 0.841 0.327 1
Rh1 Rh 0.497 0.453 0.097 1
Rh2 Rh 0.997 0.388 0.230 1
I1 I 0.006 0.256 0.502 1
I2 I 0.508 0.585 0.825 1
```

## Properties
Calculated volume: 86.7 Å³/f.u.
Total magnetization: 0.000 μB per atom
E_form (uncorrected): -0.7378 eV per atom

[4]
Ca2RhI: optimized geometry, PBE.

Structure (CIF):
```
data_Ca2RhI
_chemical_formula_sum 'Ca2 Rh1 I1'
_space_group_name_H-M_alt 'P 4/m m m'
_space_group_IT_number 123
_space_group_name_Hall '-P 4 2'
_cell_length_a 3.638
_cell_length_b 3.638
_cell_length_c 7.970
_cell_angle_alpha 90.00
_cell_angle_beta 90.00
_cell_angle_gamma 90.00
loop_
_atom_site_label
_atom_site_type_symbol
_atom_site_fract_x
_atom_site_fract_y
_atom_site_fract_z
_atom_site_occupancy
Ca1 Ca 0.000 0.000 0.204 1
Rh1 Rh 0.500 0.500 0.000 1
I1 I 0.500 0.500 0.500 1
```

## Properties
Calculated volume: 105.5 Å³/f.u.
Total magnetization: 0.000 μB per atom
Polymorph energy (0 for the lowest one): 9 meV/atom
E_form (uncorrected): -0.7126 eV per atom